First-principles (PBE+U) data for a geometry-optimized ScCrNO2 structure, as listed in Alexandria.

Cell lengths 3.8140, 3.8140, 3.7001 Å; angles 90.00, 90.00, 90.00 degrees
With the nearest neighbours (Å) after each atom.
Atoms (fractional coordinates):
Sc (0.0000, 0.0000, 0.0000)  8 O 2.66, 4 N 2.70
Cr (0.5000, 0.5000, 0.5000)  2 N 1.85, 4 O 1.91
N (0.5000, 0.5000, 0.0000)  2 Cr 1.85
O (0.0000, 0.5000, 0.5000)  2 Cr 1.91
O (0.5000, 0.0000, 0.5000)  2 Cr 1.91

Values from the calculation:
The crystal system is tetragonal. The calculation puts the electronic total energy at -7.73 eV/atom. The value obtained for the magnetic moment is 2.00 Bohr magnetons per cell.